PBE Li2CaZnPt, optimized geometry; V = 21.928 Å³ per atom; crystal system = tetragonal; E_form = -0.298 eV per atom; calculated density = 4.76 Mg/m³
1.0
4.733 0.000 0.000
0.000 4.733 0.000
0.000 0.000 4.894
Li Ca Zn Pt
2 1 1 1
Direct
0.000 0.500 0.000
0.500 0.000 0.000
0.000 0.000 0.500
0.500 0.500 0.500
0.500 0.500 0.000